No. 1
Here is an optimized crystal structure of Tl5H4S2 from Alexandria via LeMat-Bulk. Energies are from PBE-GGA.

Cell lengths 3.8710, 8.4356, 11.7055 Å; angles 46.49, 99.52, 90.00 degrees
Fractional positions:
Tl  0.1571  0.8548  0.3143
Tl  0.5000  0.0000  0.0000
Tl  0.1148  0.4207  0.2296
Tl  0.8429  0.1452  0.6857
Tl  0.8852  0.5793  0.7704
S  0.3290  0.5042  0.6580
S  0.6710  0.4958  0.3420
H  0.1705  0.1368  0.3410
H  0.9882  0.3266  0.9764
H  0.8295  0.8632  0.6590
H  0.0118  0.6734  0.0236

Computed properties:
E = -0.2131 Ry per atom
Crystal system = monoclinic

=====

No. 2
Here is an optimized crystal structure of CaMn2Cu from Alexandria via LeMat-Bulk. Energies are from PBE-GGA.

Cell lengths 3.2404, 3.3205, 7.5652 Å; angles 64.00, 90.00, 90.00 degrees
Site moments in Bohr magnetons follow the coordinates.
Fractional positions:
Ca  0.0000  0.4845  0.5151  0.00
Cu  0.5000  0.6919  0.8083  0.10
Mn  0.5000  0.3065  0.1936  3.59
Mn  0.0000  0.0171  0.9829  3.55

Computed properties:
Energy of formation from the pure elements = 0.3689 eV/atom
Crystal system = orthorhombic

=====

No. 3
Here is an optimized crystal structure of NaGa8Ag4 from Alexandria via LeMat-Bulk. Energies are from PBE-GGA.

Cell lengths 6.4463, 6.4463, 6.4463 Å; angles 88.21, 88.21, 88.21 degrees
Fractional positions:
Ag  0.0000  0.5000  0.5000
Ag  0.5000  0.5000  0.0000
Ag  0.5000  0.5000  0.5000
Ag  0.5000  0.0000  0.5000
Ga  0.2359  0.7431  0.7431
Ga  0.7431  0.7431  0.2359
Ga  0.2569  0.7641  0.2569
Ga  0.7569  0.7569  0.7569
Ga  0.7431  0.2359  0.7431
Ga  0.2431  0.2431  0.2431
Ga  0.2569  0.2569  0.7641
Ga  0.7641  0.2569  0.2569
Na  0.0000  0.0000  0.0000

Computed properties:
Energy of formation from the pure elements = 0.1252 eV/atom
Energy relative to the lowest polymorph listed for this composition = 146 meV per atom
Crystal system = trigonal

=====

No. 4
Here is an optimized crystal structure of ZrAl3W from Alexandria via LeMat-Bulk. Energies are from PBE-GGA.

Cell lengths 4.7503, 4.7503, 4.7503 Å; angles 90.00, 90.00, 90.00 degrees
Fractional positions:
W  0.0000  0.0000  0.0000
Zr  0.5000  0.5000  0.5000
Al  0.0000  0.5000  0.0000
Al  0.0000  0.0000  0.5000
Al  0.5000  0.0000  0.0000

Computed properties:
Energy of formation from the pure elements = 0.5716 eV/atom
Energy relative to the lowest polymorph listed for this composition = 0 meV per atom
Crystal system = cubic

=====

No. 5
Here is an optimized crystal structure of TcTe3 from Alexandria via LeMat-Bulk. Energies are from PBE-GGA.

Cell lengths 3.1820, 3.1820, 10.3571 Å; angles 90.00, 90.00, 89.99 degrees
Fractional positions:
Te  0.5000  0.5000  0.1661
Te  0.0000  0.0000  0.5000
Te  0.5000  0.5000  0.8339
Tc  0.0000  0.0000  0.0000

Computed properties:
ΔE_f (raw) = 0.0588 eV per atom
Energy relative to the lowest polymorph listed for this composition = 29 meV per atom
Crystal system = tetragonal

=====

No. 6
Here is an optimized crystal structure of Er3In2Ag from Alexandria via LeMat-Bulk. Energies are from PBE-GGA.

Cell lengths 3.5432, 3.5432, 12.0066 Å; angles 90.00, 90.00, 90.00 degrees
Fractional positions:
In  0.5000  0.5000  0.1745
In  0.5000  0.5000  0.8255
Er  0.0000  0.0000  0.0000
Er  0.0000  0.0000  0.3473
Er  0.0000  0.0000  0.6527
Ag  0.5000  0.5000  0.5000

Computed properties:
Energy of formation from the pure elements = -0.4177 eV/atom
Crystal system = tetragonal

=====

No. 7
Here is an optimized crystal structure of Ag3PdCl from Alexandria via LeMat-Bulk. Energies are from PBE-GGA.

Cell lengths 4.9049, 4.9049, 4.9049 Å; angles 90.00, 90.00, 90.00 degrees
Fractional positions:
Ag  0.0000  0.5000  0.0000
Ag  0.0000  0.0000  0.5000
Ag  0.5000  0.0000  0.0000
Cl  0.0000  0.0000  0.0000
Pd  0.5000  0.5000  0.5000

Computed properties:
ΔE_f (raw) = 0.6907 eV per atom
Energy relative to the lowest polymorph listed for this composition = 131 meV per atom
Crystal system = cubic

=====

No. 8
Here is an optimized crystal structure of CsNaTl4Au2 from Alexandria via LeMat-Bulk. Energies are from PBE-GGA.

Cell lengths 4.6065, 4.6065, 13.0379 Å; angles 90.00, 90.00, 90.00 degrees
Fractional positions:
Na  0.0000  0.0000  0.5000
Au  0.5000  0.5000  0.6023
Au  0.5000  0.5000  0.3977
Tl  0.0000  0.5000  0.7498
Tl  0.5000  0.0000  0.7498
Tl  0.5000  0.0000  0.2502
Tl  0.0000  0.5000  0.2502
Cs  0.0000  0.0000  0.0000

Computed properties:
Energy of formation from the pure elements = -0.0811 eV/atom
Crystal system = tetragonal

=====

No. 9
Here is an optimized crystal structure of Ac3Cd8Hg from Alexandria via LeMat-Bulk. Energies are from PBE-GGA.

Cell lengths 6.2494, 6.2494, 9.8152 Å; angles 90.00, 90.00, 120.00 degrees
Fractional positions:
Cd  0.6762  0.8381  0.2507
Cd  0.5002  0.4998  0.7521
Cd  0.1619  0.8381  0.2507
Cd  0.5002  0.0003  0.7521
Cd  0.3333  0.6667  0.0017
Cd  0.3333  0.6667  0.4997
Cd  0.9997  0.4998  0.7521
Cd  0.1619  0.3238  0.2507
Ac  0.0000  0.0000  0.9227
Ac  0.6667  0.3333  0.4548
Ac  0.6667  0.3333  0.0625
Hg  0.0000  0.0000  0.5503

Computed properties:
Energy of formation from the pure elements = -0.2487 eV/atom
Crystal system = trigonal

=====

No. 10
Here is an optimized crystal structure of Ti3BiB from Alexandria via LeMat-Bulk. Energies are from PBE-GGA.

Cell lengths 5.1331, 5.1331, 5.1331 Å; angles 90.00, 90.00, 90.00 degrees
Site moments in Bohr magnetons follow the coordinates.
Fractional positions:
B  0.5000  0.5000  0.5000  -0.15
Ti  0.0000  0.5000  0.0000  1.13
Ti  0.0000  0.0000  0.5000  1.15
Ti  0.5000  0.0000  0.0000  1.03
Bi  0.0000  0.0000  0.0000  -0.01

Computed properties:
Energy of formation from the pure elements = 1.9833 eV/atom
Energy relative to the lowest polymorph listed for this composition = 2336 meV per atom
Crystal system = cubic

=====

No. 11
Here is an optimized crystal structure of Sr2Al4HgGe3 from Alexandria via LeMat-Bulk. Energies are from PBE-GGA.

Cell lengths 4.6988, 4.6988, 10.3336 Å; angles 90.00, 90.00, 90.00 degrees
Fractional positions:
Al  0.5000  0.5000  0.0000
Al  0.0000  0.0000  0.0000
Al  0.0000  0.5000  0.3701
Al  0.5000  0.0000  0.6299
Sr  0.0000  0.5000  0.7475
Sr  0.5000  0.0000  0.2525
Ge  0.5000  0.0000  0.8795
Ge  0.0000  0.5000  0.1205
Ge  0.0000  0.0000  0.5000
Hg  0.5000  0.5000  0.5000

Computed properties:
Energy of formation from the pure elements = -0.2818 eV/atom
Crystal system = tetragonal

=====

No. 12
Here is an optimized crystal structure of Pm2TlRu from Alexandria via LeMat-Bulk. Energies are from PBE-GGA.

Cell lengths 4.0436, 4.0436, 8.5523 Å; angles 76.33, 76.33, 60.00 degrees
Fractional positions:
Tl  0.5007  0.5007  0.4979
Pm  0.0634  0.0634  0.8098
Pm  0.2700  0.2700  0.1899
Ru  0.6659  0.6659  0.0024

Computed properties:
Energy of formation from the pure elements = -0.1429 eV/atom
Energy relative to the lowest polymorph listed for this composition = 157 meV per atom
Crystal system = trigonal

=====

No. 13
Here is an optimized crystal structure of PmEuGeCl from Alexandria via LeMat-Bulk. Energies are from PBE-GGA.

Cell lengths 5.2314, 5.2314, 5.2314 Å; angles 60.00, 60.00, 60.00 degrees
Site moments in Bohr magnetons follow the coordinates.
Fractional positions:
Pm  0.2500  0.2500  0.2500  0.06
Cl  0.0000  0.0000  0.0000  -0.02
Ge  0.5000  0.5000  0.5000  -0.07
Eu  0.7500  0.7500  0.7500  6.82

Computed properties:
ΔE_f (raw) = -1.0348 eV per atom
Crystal system = cubic

=====

No. 14
Here is an optimized crystal structure of BaAuCl2 from Alexandria via LeMat-Bulk. Energies are from PBE-GGA.

Cell lengths 5.3883, 5.3883, 5.3883 Å; angles 60.00, 60.00, 60.00 degrees
Site moments in Bohr magnetons follow the coordinates.
Fractional positions:
Au  0.5000  0.5000  0.5000  0.26
Cl  0.2500  0.2500  0.2500  0.22
Cl  0.0000  0.0000  0.0000  0.04
Ba  0.7500  0.7500  0.7500  0.04

Computed properties:
ΔE_f (raw) = -1.0771 eV per atom
Energy relative to the lowest polymorph listed for this composition = 255 meV per atom
Crystal system = cubic

=====

No. 15
Here is an optimized crystal structure of MgAl5Ag4 from Alexandria via LeMat-Bulk. Energies are from PBE-GGA.

Cell lengths 4.8528, 9.1768, 8.3621 Å; angles 90.00, 90.00, 90.00 degrees
Fractional positions:
Al  0.7463  0.7480  0.1709
Al  0.2537  0.2480  0.3291
Al  0.6623  0.5000  0.0000
Al  0.7463  0.7480  0.8291
Al  0.2537  0.2480  0.6709
Al  0.2537  0.7520  0.3291
Al  0.7463  0.2520  0.8291
Al  0.7463  0.2520  0.1709
Al  0.2537  0.7520  0.6709
Al  0.3377  0.0000  0.5000
Mg  0.5058  0.5000  0.5000
Mg  0.4942  0.0000  0.0000
Ag  0.9904  0.0000  0.7588
Ag  0.7499  0.7882  0.5000
Ag  0.2501  0.7118  0.0000
Ag  0.0096  0.5000  0.7412
Ag  0.7499  0.2118  0.5000
Ag  0.9904  0.0000  0.2412
Ag  0.0096  0.5000  0.2588
Ag  0.2501  0.2882  0.0000

Computed properties:
Energy of formation from the pure elements = 0.0351 eV/atom
Crystal system = orthorhombic

=====

No. 16
Here is an optimized crystal structure of Pr2Pa3S8 from Alexandria via LeMat-Bulk. Energies are from PBE-GGA.

Cell lengths 8.2925, 8.2925, 4.7778 Å; angles 90.00, 90.00, 110.19 degrees
Site moments in Bohr magnetons follow the coordinates.
Fractional positions:
Pa  0.7341  0.7341  0.0000  0.60
Pa  0.0000  0.0000  0.5000  0.67
Pa  0.2659  0.2659  0.0000  0.60
S  0.3805  0.6195  0.0000  -0.01
S  0.1214  0.3561  0.5000  -0.02
S  0.8879  0.1121  0.0000  -0.02
S  0.6195  0.3805  0.0000  -0.01
S  0.1121  0.8879  0.0000  -0.02
S  0.3561  0.1214  0.5000  -0.02
S  0.6439  0.8786  0.5000  -0.02
S  0.8786  0.6439  0.5000  -0.02
Pr  0.2681  0.7319  0.5000  0.01
Pr  0.7319  0.2681  0.5000  0.01

Computed properties:
ΔE_f (raw) = -1.7265 eV per atom
Energy relative to the lowest polymorph listed for this composition = 0 meV per atom
Crystal system = orthorhombic

=====

No. 17
Here is an optimized crystal structure of KHg3Pb3 from Alexandria via LeMat-Bulk. Energies are from PBE-GGA.

Cell lengths 8.3130, 8.3130, 8.3130 Å; angles 90.00, 90.00, 90.00 degrees
Fractional positions:
Pb  0.5000  0.7500  0.0000
Pb  0.0000  0.5000  0.7500
Pb  0.5000  0.2500  0.0000
Pb  0.7500  0.0000  0.5000
Pb  0.0000  0.5000  0.2500
Pb  0.2500  0.0000  0.5000
Hg  0.0000  0.2500  0.5000
Hg  0.0000  0.7500  0.5000
Hg  0.5000  0.0000  0.7500
Hg  0.5000  0.0000  0.2500
Hg  0.7500  0.5000  0.0000
Hg  0.2500  0.5000  0.0000
K  0.5000  0.5000  0.5000
K  0.0000  0.0000  0.0000

Computed properties:
Energy of formation from the pure elements = 0.0896 eV/atom
Energy relative to the lowest polymorph listed for this composition = 184 meV per atom
Crystal system = cubic

=====

No. 18
Here is an optimized crystal structure of Ho2Al5Co3 from Alexandria via LeMat-Bulk. Energies are from PBE-GGA.

Cell lengths 4.0600, 6.6609, 12.3218 Å; angles 90.00, 99.48, 90.00 degrees
Fractional positions:
Ho  0.4731  0.7888  0.9462
Ho  0.1754  0.7036  0.3508
Ho  0.5269  0.2888  0.0538
Ho  0.8246  0.2036  0.6492
Al  0.0552  0.6215  0.1104
Al  0.9448  0.1215  0.8896
Al  0.2869  0.5003  0.5738
Al  0.4037  0.4035  0.8075
Al  0.8686  0.7333  0.7372
Al  0.7131  0.0003  0.4262
Al  0.7077  0.3893  0.4155
Al  0.5963  0.9035  0.1925
Al  0.1314  0.2333  0.2628
Al  0.2923  0.8893  0.5845
Co  0.3887  0.0329  0.7774
Co  0.7682  0.6927  0.5364
Co  0.0461  0.9989  0.0922
Co  0.6113  0.5329  0.2226
Co  0.2318  0.1927  0.4636
Co  0.9539  0.4989  0.9078

Computed properties:
Energy of formation from the pure elements = -0.4496 eV/atom
Crystal system = orthorhombic

=====

No. 19
Here is an optimized crystal structure of Rb2ZnSeI from Alexandria via LeMat-Bulk. Energies are from PBE-GGA.

Cell lengths 6.7197, 6.7197, 5.0121 Å; angles 90.00, 90.00, 90.00 degrees
Fractional positions:
Zn  0.0000  0.0000  0.5000
Se  0.0000  0.0000  0.0000
Rb  0.0000  0.5000  0.0000
Rb  0.5000  0.0000  0.0000
I  0.5000  0.5000  0.5000

Computed properties:
ΔE_f (raw) = -0.8938 eV per atom
Crystal system = tetragonal

=====

No. 20
Here is an optimized crystal structure of Tl2SeF from Alexandria via LeMat-Bulk. Energies are from PBE-GGA.

Cell lengths 4.2775, 4.2775, 6.8458 Å; angles 71.80, 71.80, 60.00 degrees
Fractional positions:
Tl  0.2595  0.2595  0.2216
Tl  0.7405  0.7405  0.7784
Se  0.5000  0.5000  0.5000
F  0.0000  0.0000  0.0000

Computed properties:
ΔE_f (raw) = -0.8688 eV per atom
Energy relative to the lowest polymorph listed for this composition = 116 meV per atom
Crystal system = trigonal

=====

No. 21
Here is an optimized crystal structure of Ho6ZnIr5 from Alexandria via LeMat-Bulk. Energies are from PBE-GGA.

Cell lengths 4.8653, 8.4336, 8.4336 Å; angles 120.51, 106.76, 106.76 degrees
Fractional positions:
Zn  0.0000  0.0000  0.0000
Ho  0.7470  0.9163  0.5777
Ho  0.2530  0.0837  0.4223
Ho  0.2530  0.4223  0.0837
Ho  0.7564  0.2564  0.2564
Ho  0.7470  0.5777  0.9163
Ho  0.2436  0.7436  0.7436
Ir  0.0000  0.6669  0.3331
Ir  0.5000  0.8360  0.1640
Ir  0.0000  0.3331  0.6669
Ir  0.5000  0.5000  0.5000
Ir  0.5000  0.1640  0.8360

Computed properties:
Energy of formation from the pure elements = -0.7912 eV/atom
Crystal system = orthorhombic

=====

No. 22
Here is an optimized crystal structure of CsGe2Cl7 from Alexandria via LeMat-Bulk. Energies are from PBE-GGA.

Cell lengths 4.7021, 7.8223, 9.6692 Å; angles 113.86, 90.00, 90.00 degrees
Fractional positions:
Cs  0.0000  0.0000  0.0000
Cl  0.5000  0.0600  0.7267
Cl  0.5000  0.9400  0.2733
Cl  0.0000  0.3186  0.6372
Cl  0.5000  0.3333  0.2733
Cl  0.0000  0.6814  0.3628
Cl  0.5000  0.6667  0.7267
Cl  0.5000  0.5000  0.0000
Ge  0.5000  0.6385  0.2770
Ge  0.5000  0.3615  0.7230

Computed properties:
ΔE_f (raw) = -0.8983 eV per atom
Crystal system = orthorhombic

=====

No. 23
Here is an optimized crystal structure of Sr2MnFe from Alexandria via LeMat-Bulk. Energies are from PBE-GGA.

Cell lengths 5.4070, 5.4070, 5.4070 Å; angles 60.00, 60.00, 60.00 degrees
Site moments in Bohr magnetons follow the coordinates.
Fractional positions:
Mn  0.0000  0.0000  0.0000  3.83
Fe  0.5000  0.5000  0.5000  2.90
Sr  0.7500  0.7500  0.7500  -0.11
Sr  0.2500  0.2500  0.2500  -0.11

Computed properties:
Energy of formation from the pure elements = 0.7593 eV/atom
Energy relative to the lowest polymorph listed for this composition = 396 meV per atom
Crystal system = cubic

=====

No. 24
Here is an optimized crystal structure of Na2GaFe from Alexandria via LeMat-Bulk. Energies are from PBE-GGA.

Cell lengths 8.0665, 8.0665, 6.2581 Å; angles 49.87, 49.87, 90.00 degrees
Site moments in Bohr magnetons follow the coordinates.
Fractional positions:
Fe  0.2500  0.7500  0.5000  2.84
Fe  0.5000  0.5000  0.0000  2.84
Na  0.3750  0.3746  0.7500  -0.01
Na  0.8750  0.8754  0.7500  -0.01
Na  0.6254  0.1250  0.2500  -0.01
Na  0.1246  0.6250  0.2500  -0.01
Ga  0.0000  0.0000  0.0000  -0.08
Ga  0.7500  0.2500  0.5000  -0.08

Computed properties:
Energy of formation from the pure elements = 0.6249 eV/atom
Crystal system = tetragonal